This record from Alexandria via LeMat-Bulk describes Mn2AlCl after structural relaxation. The functional is PBE.

Unit cell a=3.0024 b=3.0024 c=8.0728 alpha=90.00 beta=90.00 gamma=116.69
Each line ends with the local moment (μB).
Fractional coordinates of all 4 atoms:
Al: 0.5000 0.5000 0.2500  -0.08
Mn: 0.0000 0.0000 0.4992  3.56
Mn: 0.0000 0.0000 0.0008  3.56
Cl: 0.5000 0.5000 0.7500  0.08

Values from the calculation:
relative energy among the computed polymorphs = 0.124 eV/atom
Fermi-level density of states = 2.4 states/eV per cell



This record from Alexandria via LeMat-Bulk describes Mn4AlCl after structural relaxation. The functional is PBE.

Unit cell a=4.9782 b=4.9782 c=4.9782 alpha=60.00 beta=60.00 gamma=60.00
Each line ends with the local moment (μB).
Fractional coordinates of all 6 atoms:
Mn: 0.3770 0.3770 0.8689  2.33
Mn: 0.8689 0.3770 0.3770  2.33
Mn: 0.3770 0.3770 0.3770  2.33
Mn: 0.3770 0.8689 0.3770  2.33
Al: 0.7500 0.7500 0.7500  -0.11
Cl: 0.0000 0.0000 0.0000  0.13

Values from the calculation:
Fermi-level density of states = 7.8 states/eV per cell



Calculated total energy / eV/atom: -5.92, -6.43